The following is a DFT calculation (GGA+U) of crystalline NiTeO2 at its relaxed geometry. Values from VASP.

The structure in Quantum ESPRESSO input format:
```
&SYSTEM
  ibrav = 0, nat = 8, ntyp = 3
/
ATOMIC_SPECIES
Ni 58.69 Ni.upf
Te 127.60 Te.upf
O 16.00 O.upf
CELL_PARAMETERS angstrom
4.800 0.000 0.000
0.738 5.207 0.000
0.584 1.857 5.376
ATOMIC_POSITIONS crystal
Ni 0.000 0.000 0.000
Ni 0.101 0.730 0.545
Te 0.312 0.411 0.095
Te 0.649 0.055 0.649
O 0.016 0.605 0.248
O 0.076 0.394 0.843
O 0.208 0.045 0.259
O 0.321 0.833 0.790
```

* VASP energy: -4.60 eV per atom
* V: 16.80 A^3/atom
* symmetry: P1